(1)
An optimized crystal structure of Li6Tl2Pb, computed with PBE.

As for the formation energy: -175 kJ/mol of formula units. As for the energy relative to the lowest polymorph listed for this composition: 10.4 meV per atom. As for the magnetization: 0.00 μB per atom. The symmetry is P-62m (189). The volume comes out at 186.0 Å³ per cell. The calculation puts the total energy at -2.416 eV/atom.

CIF file:
```
data_Li6Tl2Pb
_chemical_formula_sum 'Li6 Tl2 Pb1'
_space_group_name_H-M_alt 'P 1'
_space_group_IT_number 1
_space_group_name_Hall 'P 1'
_cell_length_a 8.2216
_cell_length_b 8.2216
_cell_length_c 3.1768
_cell_angle_alpha 90.00
_cell_angle_beta 90.00
_cell_angle_gamma 120.00
loop_
_atom_site_label
_atom_site_fract_x
_atom_site_fract_y
_atom_site_fract_z
Li1 0.0000 0.3044 0.0000
Li2 0.0000 0.6361 0.5000
Li3 0.3044 0.0000 0.0000
Li4 0.3639 0.3639 0.5000
Li5 0.6361 0.0000 0.5000
Li6 0.6956 0.6956 0.0000
Tl1 0.3333 0.6667 0.0000
Tl2 0.6667 0.3333 0.0000
Pb1 0.0000 0.0000 0.5000
```


(2)
An optimized crystal structure of LiTl2Pb, computed with PBE.

As for the formation energy: -34 kJ/mol of formula units. As for the energy relative to the lowest polymorph listed for this composition: 6.6 meV per atom. As for the magnetization: 0.00 μB per atom. The symmetry is Immm (71). The volume comes out at 107.4 Å³ per cell. The calculation puts the total energy at -2.676 eV/atom.

CIF file:
```
data_LiTl2Pb
_chemical_formula_sum 'Li1 Tl2 Pb1'
_space_group_name_H-M_alt 'P 1'
_space_group_IT_number 1
_space_group_name_Hall 'P 1'
_cell_length_a 6.1575
_cell_length_b 6.1575
_cell_length_c 6.1575
_cell_angle_alpha 144.12
_cell_angle_beta 127.32
_cell_angle_gamma 65.39
loop_
_atom_site_label
_atom_site_fract_x
_atom_site_fract_y
_atom_site_fract_z
Li1 0.0000 0.0000 0.0000
Tl1 0.2272 0.7272 0.5000
Tl2 0.7728 0.2728 0.5000
Pb1 0.5000 0.5000 0.0000
```


(3)
An optimized crystal structure of LiTlPb2, computed with PBE.

As for the formation energy: -29 kJ/mol of formula units. As for the magnetization: 0.00 μB per atom. The symmetry is Immm (71). The volume comes out at 110.3 Å³ per cell. The calculation puts the total energy at -2.999 eV/atom.

CIF file:
```
data_LiTlPb2
_chemical_formula_sum 'Li1 Tl1 Pb2'
_space_group_name_H-M_alt 'P 1'
_space_group_IT_number 1
_space_group_name_Hall 'P 1'
_cell_length_a 6.3683
_cell_length_b 6.3683
_cell_length_c 6.3683
_cell_angle_alpha 146.39
_cell_angle_beta 128.77
_cell_angle_gamma 62.67
loop_
_atom_site_label
_atom_site_fract_x
_atom_site_fract_y
_atom_site_fract_z
Li1 0.0000 0.0000 0.0000
Tl1 0.5000 0.5000 0.0000
Pb1 0.2273 0.7273 0.5000
Pb2 0.7727 0.2727 0.5000
```


(4)
An optimized crystal structure of LiTlPb, computed with PBE.

As for the formation energy: -39 kJ/mol of formula units. As for the magnetization: 0.00 μB per atom. The symmetry is Amm2 (38). The volume comes out at 158.8 Å³ per cell. The calculation puts the total energy at -2.798 eV/atom.

CIF file:
```
data_LiTlPb
_chemical_formula_sum 'Li2 Tl2 Pb2'
_space_group_name_H-M_alt 'P 1'
_space_group_IT_number 1
_space_group_name_Hall 'P 1'
_cell_length_a 5.4877
_cell_length_b 5.9747
_cell_length_c 5.9747
_cell_angle_alpha 125.83
_cell_angle_beta 90.00
_cell_angle_gamma 90.00
loop_
_atom_site_label
_atom_site_fract_x
_atom_site_fract_y
_atom_site_fract_z
Li1 0.0000 0.0000 0.0000
Li2 0.5000 0.4976 0.4976
Tl1 0.5000 0.1570 0.8389
Tl2 0.5000 0.8389 0.1570
Pb1 0.0000 0.3401 0.6589
Pb2 0.0000 0.6589 0.3401
```


(5)
An optimized crystal structure of Li6TlPb5, computed with PBE.

As for the formation energy: -298 kJ/mol of formula units. As for the magnetization: 0.00 μB per atom. The symmetry is C2/m (12). The volume comes out at 267.7 Å³ per cell. The calculation puts the total energy at -2.957 eV/atom.

CIF file:
```
data_Li6TlPb5
_chemical_formula_sum 'Li6 Tl1 Pb5'
_space_group_name_H-M_alt 'P 1'
_space_group_IT_number 1
_space_group_name_Hall 'P 1'
_cell_length_a 7.9554
_cell_length_b 7.9554
_cell_length_c 7.0010
_cell_angle_alpha 90.06
_cell_angle_beta 90.06
_cell_angle_gamma 142.84
loop_
_atom_site_label
_atom_site_fract_x
_atom_site_fract_y
_atom_site_fract_z
Li1 0.9998 0.9998 0.2442
Li2 0.0002 0.0002 0.7558
Li3 0.3337 0.6660 0.2491
Li4 0.3340 0.6663 0.7509
Li5 0.6660 0.3337 0.2491
Li6 0.6663 0.3340 0.7509
Tl1 0.5000 0.5000 0.0000
Pb1 0.1660 0.8340 0.5000
Pb2 0.1684 0.8316 0.0000
Pb3 0.5000 0.5000 0.5000
Pb4 0.8316 0.1684 0.0000
Pb5 0.8340 0.1660 0.5000
```


(6)
An optimized crystal structure of Li3TlPb, computed with PBE.

As for the formation energy: 5 kJ/mol of formula units. As for the energy relative to the lowest polymorph listed for this composition: 261.4 meV per atom. As for the magnetization: 0.00 μB per atom. The symmetry is Pm-3m (221). The volume comes out at 145.0 Å³ per cell. The calculation puts the total energy at -2.353 eV/atom.

CIF file:
```
data_Li3TlPb
_chemical_formula_sum 'Li3 Tl1 Pb1'
_space_group_name_H-M_alt 'P 1'
_space_group_IT_number 1
_space_group_name_Hall 'P 1'
_cell_length_a 5.2530
_cell_length_b 5.2530
_cell_length_c 5.2530
_cell_angle_alpha 90.00
_cell_angle_beta 90.00
_cell_angle_gamma 90.00
loop_
_atom_site_label
_atom_site_fract_x
_atom_site_fract_y
_atom_site_fract_z
Li1 0.0000 0.0000 0.5000
Li2 0.0000 0.5000 0.0000
Li3 0.5000 0.0000 0.0000
Tl1 0.5000 0.5000 0.5000
Pb1 0.0000 0.0000 0.0000
```


Copy entry 6 word for word.
An optimized crystal structure of Li3TlPb, computed with PBE.

As for the formation energy: 5 kJ/mol of formula units. As for the energy relative to the lowest polymorph listed for this composition: 261.4 meV per atom. As for the magnetization: 0.00 μB per atom. The symmetry is Pm-3m (221). The volume comes out at 145.0 Å³ per cell. The calculation puts the total energy at -2.353 eV/atom.

CIF file:
```
data_Li3TlPb
_chemical_formula_sum 'Li3 Tl1 Pb1'
_space_group_name_H-M_alt 'P 1'
_space_group_IT_number 1
_space_group_name_Hall 'P 1'
_cell_length_a 5.2530
_cell_length_b 5.2530
_cell_length_c 5.2530
_cell_angle_alpha 90.00
_cell_angle_beta 90.00
_cell_angle_gamma 90.00
loop_
_atom_site_label
_atom_site_fract_x
_atom_site_fract_y
_atom_site_fract_z
Li1 0.0000 0.0000 0.5000
Li2 0.0000 0.5000 0.0000
Li3 0.5000 0.0000 0.0000
Tl1 0.5000 0.5000 0.5000
Pb1 0.0000 0.0000 0.0000
```


total energy of number 5 (Li6TlPb5)? -2.957 eV/atom


formation energy of number 3 (LiTlPb2)? -29 kJ/mol of formula units


What is the formula in the fourth record? LiTlPb